No. 1
First-principles (PBE) data for crystalline VCdH2Ir at its relaxed geometry, as listed in the Alexandria database.

abc: 3.487 3.487 6.532
angles: 90.00 90.00 90.00
Element x y z (fractional)
V 0.000 0.000 0.000
Cd 0.000 0.000 0.500
H 0.000 0.500 0.500
H 0.500 0.000 0.500
Ir 0.500 0.500 0.000

---

No. 2
First-principles (PBE) data for crystalline YCdH6Ir2 at its relaxed geometry, as listed in the Alexandria database.

abc: 6.163 6.163 5.619
angles: 99.88 99.88 102.71
Element x y z (fractional)
Y 0.157 0.843 0.750
Y 0.843 0.157 0.250
Cd 0.377 0.623 0.250
Cd 0.623 0.377 0.750
H 0.025 0.556 0.388
H 0.171 0.173 0.071
H 0.173 0.171 0.571
H 0.313 0.529 0.858
H 0.444 0.975 0.112
H 0.471 0.687 0.642
H 0.529 0.313 0.358
H 0.556 0.025 0.888
H 0.687 0.471 0.142
H 0.827 0.829 0.429
H 0.829 0.827 0.929
H 0.975 0.444 0.612
Ir 0.080 0.319 0.825
Ir 0.319 0.080 0.325
Ir 0.681 0.920 0.675
Ir 0.920 0.681 0.175

---

No. 3
First-principles (PBE) data for crystalline YCdH2Ir at its relaxed geometry, as listed in the Alexandria database.

abc: 3.805 3.805 7.505
angles: 90.00 90.00 90.00
Element x y z (fractional)
Y 0.000 0.000 0.000
Cd 0.000 0.000 0.500
H 0.000 0.500 0.500
H 0.500 0.000 0.500
Ir 0.500 0.500 0.000

---

Listing final energy for the structures above in their given order: -4.33; -4.77; -4.12 eV per atom.
Listing density of states at the Fermi level for the structures above in their given order: 3.20; 2.59; 1.19 states/eV/f.u..